# 1
8
Lattice="-5.6167 7.9518 -3.6536 -6.2743 -0.6329 8.2681 -4.1301 5.6445 3.8368" Properties=species:S:1:pos:R:3 comment="BaNa2Cl PBE optimized geometry" sg="I-42d, No. 122" formation_energy_uncorrected_mev_per_atom=-733 pbc="T T T"
Ba 0.0000 0.0000 0.0000
Ba -7.8461 8.6279 1.2452
Na -8.0324 6.9300 5.2348
Na -6.0819 2.6124 5.3930
Na -13.0265 10.6855 6.2884
Cl -8.1749 4.3356 7.2060
Cl -5.9455 3.6595 2.3072
Na -4.9014 5.6991 -0.0138

# 2
8
Lattice="-6.3853 1.7834 -3.9957 0.6236 -1.9421 -1.8634 -1.8306 -3.3418 2.8703" Properties=species:S:1:pos:R:3 comment="FeBAsC PBE optimized geometry" sg="Cm, No. 8" dft_energy_ev_per_atom=-7.06 pbc="T T T"
B -2.6930 0.2064 -1.1164
As -6.3664 -1.1076 -3.0244
Fe -2.2055 -3.7860 1.1597
B -3.2965 -2.4355 -0.6129
C -3.3372 -0.9053 -0.1733
As -5.7629 1.5344 -3.5278
Fe -1.6020 -1.1440 0.6562
C -3.9407 -3.5472 0.3301

# 3
12
Lattice="5.8423 0.0000 0.0000 2.9212 8.6701 1.4760 2.9212 1.4553 7.6464" Properties=species:S:1:pos:R:3 comment="NdSm7Sc4 PBE optimized geometry" sg="C2/m, No. 12" dft_energy_ev_per_atom=-5.04 pbc="T T T"
Sc 5.8423 5.6435 1.1532
Sc 5.8423 6.6549 4.2255
Sm 5.8423 2.6439 1.9226
Sm 2.9211 1.6663 3.6886
Nd 0.0000 0.0000 0.0000
Sm 8.7635 4.9979 6.2290
Sc 5.8423 3.4705 4.8970
Sm 2.9211 5.1275 2.8934
Sm 2.9212 0.0000 0.0000
Sc 5.8423 4.4819 7.9693
Sm 8.7635 8.4591 5.4338
Sm 5.8423 7.4815 7.1998

# 4
10
Lattice="4.5163 0.0000 0.0000 0.0000 5.8134 -0.0005 0.0000 -2.9056 5.0352" Properties=species:S:1:pos:R:3 comment="TiCuNi3 PBE optimized geometry" sg="P6_3/mmc, No. 194" dft_energy_ev_per_atom=-5.75 pbc="T T T"
Ni 3.3872 1.1502 4.0201
Ni 1.1291 4.0561 1.0144
Cu 2.2582 0.0000 0.0000
Ni 1.1291 2.9073 3.0052
Ni 1.1291 1.7576 1.0146
Ti 3.3872 2.9051 1.6792
Ni 3.3872 0.0005 2.0294
Ti 1.1291 0.0027 3.3555
Cu 0.0000 0.0000 0.0000
Ni 3.3872 -1.1483 4.0202

# 5
12
Lattice="-4.9113 -1.5365 -6.9849 -5.7272 -1.4160 -0.7189 -2.1979 11.5788 -0.3954" Properties=species:S:1:pos:R:3 comment="RbCeH2Br8 PBE optimized geometry" sg="P-1, No. 2" dft_energy_ev_per_atom=-3.19 pbc="T T T"
Rb -1.0989 5.7894 -0.1977
Br -8.8198 -2.3971 -5.8247
Br -4.9503 4.6541 -3.8888
Br -4.0165 11.0234 -2.2745
Br -7.6295 7.6774 -5.7169
Ce 0.0000 0.0000 0.0000
Br -5.2068 0.9489 -2.3823
H -5.8626 0.6630 -3.9916
Br -7.8860 3.9722 -4.2105
Br -6.3213 8.1137 -2.5749
H -6.9737 7.9633 -4.1077
Br -6.5150 0.5126 -5.5243

# 6
6
Lattice="-0.0840 0.3572 4.6426 -2.3206 -3.4408 -2.1130 6.1417 -4.4191 0.4511" Properties=species:S:1:pos:R:3 comment="BaLi2HgAu2 PBE optimized geometry" sg="P-3m1, No. 164" dft_energy_ev_per_atom=-2.64 pbc="T T T"
Au 0.1629 -3.4253 0.2665
Li 2.3556 -5.0030 0.4276
Li 1.3815 -2.4997 2.5532
Ba 0.0000 0.0000 0.0000
Au 3.5742 -4.0774 2.7142
Hg 3.0708 -2.2096 0.2256

# 7
4
Lattice="2.7956 -0.0291 0.4460 -0.0690 4.9878 0.3030 -0.6007 -2.2709 4.5077" Properties=species:S:1:pos:R:3 comment="LiAl2Ga PBE optimized geometry" sg="P1, No. 1" dft_energy_ev_per_atom=-3.21 pbc="T T T"
Al 1.7546 2.0051 2.7809
Li 0.0518 0.8839 4.8108
Ga 1.4834 -1.6241 4.8821
Al 0.3935 -0.4744 2.4068

# 8
4
Lattice="-4.3158 0.9358 -0.2302 -0.7583 -2.6031 3.6340 0.6335 3.5861 2.7010" Properties=species:S:1:pos:R:3 comment="NdZn2Hg PBE optimized geometry" sg="P4/mmm, No. 123" dft_energy_ev_per_atom=-2.12 pbc="T T T"
Zn 0.3167 1.7931 1.3505
Hg -2.2203 0.9594 3.0524
Nd -2.1579 0.4679 -0.1151
Zn -0.3791 -1.3016 1.8170